Record 1
Ba2CaHfS | meta-GGA SCAN | PBEsol geometry

The structure in POSCAR format:
```
Ba2CaHfS
1.0
-0.577 4.303 -2.156
-3.358 -2.657 -4.404
-5.091 0.970 3.297
Ca S Ba Hf
1 1 2 1
direct
0.500 0.500 0.500
0.000 0.000 0.000
0.000 0.000 0.500
0.000 0.500 0.000
0.500 0.000 0.000
```

Calculated values
Uncorrected formation energy: -2.07 eV per formula unit
DFT total energy: -32.627 eV/atom
Total magnetic moment: 2.314 Bohr magnetons per cell

Record 2
Ta2FeSb | meta-GGA SCAN | PBEsol geometry

The structure in POSCAR format:
```
Ta2FeSb
1.0
-2.197 -2.047 1.178
2.287 -3.561 -1.922
1.809 0.506 4.252
Ta Sb Fe
2 1 1
direct
0.000 0.500 0.000
0.000 0.000 0.500
0.500 0.000 0.000
0.500 0.500 0.500
```

Calculated values
Uncorrected formation energy: 0.47 eV per formula unit
DFT total energy: -47.022 eV/atom
Total magnetic moment: 2.099 Bohr magnetons per cell

Record 3
Sr3ZnPtO6 | meta-GGA SCAN | PBEsol geometry

The structure in POSCAR format:
```
Sr3ZnPtO6
1.0
-3.692 3.201 -4.531
4.244 -2.086 -4.696
-3.686 -5.513 -0.655
O Zn Sr Pt
12 2 6 2
direct
0.040 0.906 0.713
0.094 0.287 0.960
0.287 0.960 0.094
0.406 0.540 0.213
0.460 0.787 0.594
0.540 0.213 0.406
0.787 0.594 0.460
0.213 0.406 0.540
0.713 0.040 0.906
0.960 0.094 0.287
0.906 0.713 0.040
0.594 0.460 0.787
0.750 0.750 0.750
0.250 0.250 0.250
0.386 0.114 0.750
0.114 0.750 0.386
0.614 0.886 0.250
0.886 0.250 0.614
0.250 0.614 0.886
0.750 0.386 0.114
0.500 0.500 0.500
0.000 0.000 0.000
```

Calculated values
Uncorrected formation energy: -25.02 eV per formula unit
DFT total energy: -19.358 eV/atom
Total magnetic moment: 0.000 Bohr magnetons per cell

Record 4
SiIrSeBr2 | meta-GGA SCAN | PBEsol geometry

The structure in POSCAR format:
```
SiIrSeBr2
1.0
-3.115 -3.077 1.916
0.770 -3.031 -3.614
3.629 -2.097 2.532
Br Se Si Ir
2 1 1 1
direct
0.500 0.000 0.000
0.000 0.500 0.000
0.000 0.000 0.500
0.000 0.000 0.000
0.500 0.500 0.500
```

Calculated values
Uncorrected formation energy: 5.64 eV per formula unit
DFT total energy: -26.895 eV/atom
Total magnetic moment: 2.680 Bohr magnetons per cell

Record 5
TlTeIr2 | meta-GGA SCAN | PBEsol geometry

The structure in POSCAR format:
```
TlTeIr2
1.0
-2.097 2.302 -0.379
-2.000 -1.374 2.724
3.153 3.548 4.105
Tl Ir Te
1 2 1
direct
0.500 0.500 0.500
0.000 0.000 0.760
0.000 0.000 0.240
0.500 0.500 0.000
```

Calculated values
Polymorph energy (0 for the lowest one): 262 meV/atom
Uncorrected formation energy: 2.66 eV per formula unit
DFT total energy: -62.286 eV/atom
Total magnetic moment: 0.000 Bohr magnetons per cell

Record 6
LiAsS2N | meta-GGA SCAN | PBEsol geometry

The structure in POSCAR format:
```
LiAsS2N
1.0
3.471 0.000 0.000
0.000 4.476 0.000
0.000 0.000 4.476
N Li As S
1 1 1 2
direct
0.500 0.000 0.000
0.000 0.000 0.000
0.500 0.500 0.500
0.000 0.000 0.500
0.000 0.500 0.000
```

Calculated values
Uncorrected formation energy: 5.02 eV per formula unit
DFT total energy: -9.221 eV/atom
Total magnetic moment: 2.569 Bohr magnetons per cell